Record 1
A geometry-optimized KVSb2I structure. Source: Alexandria via LeMat-Bulk, functional PBE.

Cell: 5.108 5.108 6.457 Å, 90.00 90.00 90.00°
Site moments in Bohr magnetons follow the coordinates.
Fractional coordinates of all 5 atoms:
1 I 0.000 0.000 0.500  -0.07
2 V 0.000 0.000 0.000  1.31
3 Sb 0.000 0.500 0.000  -0.14
4 Sb 0.500 0.000 0.000  -0.14
5 K 0.500 0.500 0.500  0.00

Output
The total magnetic moment comes out at 0.8 μB per formula unit. The energy above the most stable polymorph in this dataset comes out at 0 meV per atom.



Record 2
A geometry-optimized Mg2GaSb structure. Source: Alexandria via LeMat-Bulk, functional PBE.

Cell: 3.672 3.672 6.607 Å, 90.00 90.00 90.00°
Fractional coordinates of all 4 atoms:
1 Mg 0.000 0.000 0.762
2 Ga 0.500 0.500 0.000
3 Sb 0.500 0.500 0.500
4 Mg 0.000 0.000 0.238

Output
The total magnetic moment comes out at 0.0 μB per formula unit. The energy above the most stable polymorph in this dataset comes out at 38 meV per atom.



Record 3
A geometry-optimized RbNaAg4 structure. Source: Alexandria via LeMat-Bulk, functional PBE.

Cell: 5.881 5.881 5.881 Å, 60.00 60.00 60.00°
Fractional coordinates of all 6 atoms:
1 Ag 0.626 0.626 0.123
2 Rb 0.250 0.250 0.250
3 Ag 0.626 0.123 0.626
4 Na 0.000 0.000 0.000
5 Ag 0.123 0.626 0.626
6 Ag 0.626 0.626 0.626

Output
The total magnetic moment comes out at 0.0 μB per formula unit. The calculation puts the energy of formation from the pure elements at 14 meV/atom.